1.
# Er3Zn2Hg3

An optimized crystal structure of Er3Zn2Hg3 (PBE-GGA, Alexandria via LeMat-Bulk).

The spin magnetization is 0.00 μB per cell. The calculation puts the volume at 22.95 A^3/atom. As for the electronic total energy: -20.10 eV for the cell shown.

It has space group P-62m (No. 189), with a = 7.5346 Å, b = 7.5346 Å, c = 3.7346 Å, α = 90.00°, β = 90.00° and γ = 120.00°. The distinct sites, in fractional coordinates, are Er at (0.0000, 0.3931, 0.0000), Zn at (0.3333, 0.6667, 0.5000) and Hg at (0.0000, 0.7519, 0.5000).

---

2.
# ErZnHg

An optimized crystal structure of ErZnHg (PBE-GGA, Alexandria via LeMat-Bulk).

The spin magnetization is 0.00 μB per cell. The calculation puts the volume at 23.55 A^3/atom. As for the electronic total energy: -27.15 eV for the cell shown.

It has space group F-43m (No. 216), with a = 6.563 Å, b = 6.563 Å, c = 6.563 Å, α = 90.00°, β = 90.00° and γ = 90.00°. The distinct sites, in fractional coordinates, are Er at (0.000, 0.000, 0.000), Zn at (0.250, 0.250, 0.750) and Hg at (0.000, 0.000, 0.500).

---

3.
# Er2Zn15Hg2

An optimized crystal structure of Er2Zn15Hg2 (PBE-GGA, Alexandria via LeMat-Bulk).

The spin magnetization is 0.00 μB per cell. The calculation puts the volume at 16.79 A^3/atom. As for the electronic total energy: -96.86 eV for the cell shown.

It has space group R-3m (No. 166, hexagonal axes), with a = 9.1237 Å, b = 9.1237 Å, c = 13.2787 Å, α = 90.00°, β = 90.00° and γ = 120.00°. The distinct sites, in fractional coordinates, are Er at (0.0000, 0.0000, 0.1578), Zn at (0.0000, 0.3062, 0.5000), Zn at (0.0000, 0.5000, 0.0000), Zn at (0.0173, 0.5086, 0.6535) and Hg at (0.0000, 0.0000, 0.3907).

---

4.
# ErZn3Hg

An optimized crystal structure of ErZn3Hg (PBE-GGA, Alexandria via LeMat-Bulk).

The spin magnetization is 0.00 μB per cell. The calculation puts the volume at 20.40 A^3/atom. As for the electronic total energy: -37.51 eV for the cell shown.

It has space group Cmmm (No. 65), with a = 4.361 Å, b = 25.823 Å, c = 3.622 Å, α = 90.00°, β = 90.00° and γ = 90.00°. The distinct sites, in fractional coordinates, are Er at (0.000, 0.176, 0.000), Zn at (0.000, 0.051, 0.500), Zn at (0.000, 0.272, 0.500), Zn at (0.000, 0.454, 0.000) and Hg at (0.000, 0.376, 0.500).

---

5.
# Er3Zn3Hg2

An optimized crystal structure of Er3Zn3Hg2 (PBE-GGA, Alexandria via LeMat-Bulk).

The spin magnetization is 0.00 μB per cell. The calculation puts the volume at 22.92 A^3/atom. As for the electronic total energy: -20.36 eV for the cell shown.

It has space group P-62m (No. 189), with a = 7.0443 Å, b = 7.0443 Å, c = 4.2665 Å, α = 90.00°, β = 90.00° and γ = 120.00°. The distinct sites, in fractional coordinates, are Er at (0.0000, 0.3780, 0.0000), Zn at (0.0000, 0.7817, 0.5000) and Hg at (0.3333, 0.6667, 0.5000).

---

6.
# ErZnHg

An optimized crystal structure of ErZnHg (PBE-GGA, Alexandria via LeMat-Bulk).

The spin magnetization is 0.00 μB per cell. The calculation puts the volume at 21.75 A^3/atom. As for the electronic total energy: -14.64 eV for the cell shown.

It has space group P6_3/mmc (No. 194), with a = 4.6701 Å, b = 4.6701 Å, c = 6.9093 Å, α = 90.00°, β = 90.00° and γ = 120.00°. The distinct sites, in fractional coordinates, are Er at (0.0000, 0.0000, 0.0000), Zn at (0.3333, 0.6667, 0.2500) and Hg at (0.3333, 0.6667, 0.7500).

---

7.
# ErZnHg3

An optimized crystal structure of ErZnHg3 (PBE-GGA, Alexandria via LeMat-Bulk).

The spin magnetization is 0.00 μB per cell. The calculation puts the volume at 22.89 A^3/atom. As for the electronic total energy: -31.02 eV for the cell shown.

It has space group Pnma (No. 62), with a = 9.097 Å, b = 4.563 Å, c = 11.031 Å, α = 90.00°, β = 90.00° and γ = 90.00°. The distinct sites, in fractional coordinates, are Er at (0.228, 0.250, 0.004), Zn at (0.125, 0.250, 0.340), Hg at (0.053, 0.250, 0.594), Hg at (0.076, 0.750, 0.858) and Hg at (0.146, 0.750, 0.187).

---

8.
# Er3ZnHg4

An optimized crystal structure of Er3ZnHg4 (PBE-GGA, Alexandria via LeMat-Bulk).

The spin magnetization is 0.00 μB per cell. The calculation puts the volume at 25.61 A^3/atom. As for the electronic total energy: -36.66 eV for the cell shown.

It has space group Immm (No. 71), with a = 3.560 Å, b = 6.740 Å, c = 17.078 Å, α = 90.00°, β = 90.00° and γ = 90.00°. The distinct sites, in fractional coordinates, are Er at (0.000, 0.000, 0.000), Er at (0.000, 0.500, 0.227), Zn at (0.000, 0.000, 0.500) and Hg at (0.000, 0.264, 0.379).

---

9.
# Er3Zn4Hg4

An optimized crystal structure of Er3Zn4Hg4 (PBE-GGA, Alexandria via LeMat-Bulk).

The spin magnetization is 0.00 μB per cell. The calculation puts the volume at 21.43 A^3/atom. As for the electronic total energy: -23.39 eV for the cell shown.

It has space group P-1 (No. 2), with a = 3.516 Å, b = 4.668 Å, c = 14.649 Å, α = 99.06°, β = 96.87° and γ = 90.03°. The distinct sites, in fractional coordinates, are Er at (0.000, 0.000, 0.000), Er at (0.143, 0.644, 0.287), Zn at (0.263, 0.262, 0.525), Zn at (0.406, 0.907, 0.813), Hg at (0.315, 0.813, 0.627) and Hg at (0.448, 0.450, 0.899).

---

10.
# Er3ZnHg

An optimized crystal structure of Er3ZnHg (PBE-GGA, Alexandria via LeMat-Bulk).

The spin magnetization is 0.02 μB per cell. The calculation puts the volume at 25.44 A^3/atom. For the offset from the most stable computed form, the calculation gives 0 meV per atom.

It has space group Cmcm (No. 63), with a = 5.064 Å, b = 19.827 Å, c = 5.068 Å, α = 90.00°, β = 90.00° and γ = 90.00°. The distinct sites, in fractional coordinates, are Er at (0.000, 0.063, 0.250), Er at (0.000, 0.249, 0.250), Er at (0.000, 0.435, 0.250), Zn at (0.000, 0.156, 0.750) and Hg at (0.000, 0.341, 0.750).

---

11.
# ErZnHg

An optimized crystal structure of ErZnHg (PBE-GGA, Alexandria via LeMat-Bulk).

The spin magnetization is 0.26 μB per cell. The calculation puts the volume at 21.86 A^3/atom. As for the electronic total energy: -13.79 eV for the cell shown.

It has space group I4mm (No. 107), with a = 3.393 Å, b = 3.393 Å, c = 11.393 Å, α = 90.00°, β = 90.00° and γ = 90.00°. The distinct sites, in fractional coordinates, are Er at (0.000, 0.000, 0.000), Zn at (0.000, 0.000, 0.666) and Hg at (0.000, 0.000, 0.316).

---

12.
# Er4ZnHg7

An optimized crystal structure of Er4ZnHg7 (PBE-GGA, Alexandria via LeMat-Bulk).

The spin magnetization is 0.00 μB per cell. The calculation puts the volume at 25.63 A^3/atom. As for the electronic total energy: -49.14 eV for the cell shown.

It has space group C2/m (No. 12), with a = 12.886 Å, b = 5.206 Å, c = 10.598 Å, α = 90.00°, β = 120.09° and γ = 90.00°. The distinct sites, in fractional coordinates, are Er at (0.078, 0.000, 0.274), Er at (0.234, 0.000, 0.809), Zn at (0.000, 0.500, 0.500), Hg at (0.000, 0.000, 0.500), Hg at (0.076, 0.500, 0.846), Hg at (0.141, 0.000, 0.036) and Hg at (0.191, 0.500, 0.425).

---

Q: Look up the spin magnetization of the tenth one.
A: 0.02 μB per cell